The following is a PBE calculation of crystalline SrZn2Si at its relaxed geometry, from the Alexandria database.

E_form (uncorrected): -0.010 eV per atom

a b c (Å): 3.490 3.490 7.026
angles (deg): 90.00 90.00 90.00
Space group P4mm (No. 99)
Asymmetric unit:
Sr  0.000  0.000  0.000 x1
Zn  0.000  0.000  0.520 x1
Zn  0.500  0.500  0.324 x1
Si  0.500  0.500  0.686 x1

The following is a PBE calculation of crystalline Zr6OsRh5 at its relaxed geometry, from the Alexandria database.

DFT formation energy: -837 kJ/mol of formula units

a b c (Å): 4.672 6.592 7.368
angles (deg): 90.00 108.37 90.00
Space group P2/m (No. 10)
Asymmetric unit:
Zr  0.000  0.247  0.000 x2
Zr  0.335  0.250  0.669 x4
Os  0.500  0.000  0.000 x1
Rh  0.165  0.500  0.332 x2
Rh  0.171  0.000  0.341 x2
Rh  0.500  0.500  0.000 x1

The following is a PBE calculation of crystalline Na2Sc2Bi2O at its relaxed geometry, from the Alexandria database.

E_form (uncorrected): -1.228 eV per atom

a b c (Å): 4.448 4.448 16.901
angles (deg): 90.00 90.00 90.00
Space group I4/mmm (No. 139)
Asymmetric unit:
Na  0.000  0.000  0.176 x4
Sc  0.000  0.500  0.000 x4
Bi  0.000  0.000  0.373 x4
O  0.000  0.000  0.000 x2

Calculated values (μB/f.u.) of M_tot for the records, taken in order: 0.0; 0.0; 0.0.